The following is a PBE calculation of a relaxed structure of DyMgCuTeS2, from OQMD via LeMat-Bulk.

Output
- VASP energy: -4.67 eV per atom

Geometry as CIF:
```
data_DyMgCuTeS2
_cell_length_a 3.8093
_cell_length_b 13.1645
_cell_length_c 10.7666
_cell_angle_alpha 90.00
_cell_angle_beta 90.00
_cell_angle_gamma 90.00
_space_group_name_H-M_alt 'C m c m'
_space_group_IT_number 63
_space_group_name_Hall '-C 2c 2'
loop_
_atom_site_label
_atom_site_type_symbol
_atom_site_fract_x
_atom_site_fract_y
_atom_site_fract_z
Dy1 Dy 0.0000 0.0000 0.0000
Mg1 Mg 0.0000 0.1938 0.2500
Cu1 Cu 0.0000 0.4842 0.7500
Te1 Te 0.0000 0.1218 0.7500
S1 S 0.0000 0.3693 0.5875
```

---

The following is a PBE calculation of a relaxed structure of DyMgCuTe2Se, from OQMD via LeMat-Bulk.

Output
- VASP energy: -4.14 eV per atom

Geometry as CIF:
```
data_DyMgCuTe2Se
_cell_length_a 4.0541
_cell_length_b 13.6572
_cell_length_c 10.7227
_cell_angle_alpha 90.00
_cell_angle_beta 90.00
_cell_angle_gamma 90.00
_space_group_name_H-M_alt 'C m c m'
_space_group_IT_number 63
_space_group_name_Hall '-C 2c 2'
loop_
_atom_site_label
_atom_site_type_symbol
_atom_site_fract_x
_atom_site_fract_y
_atom_site_fract_z
Dy1 Dy 0.0000 0.0000 0.0000
Mg1 Mg 0.0000 0.2566 0.2500
Cu1 Cu 0.0000 0.4805 0.7500
Te1 Te 0.0000 0.3462 0.5752
Se1 Se 0.0000 0.0918 0.7500
```

---

The following is a PBE calculation of a relaxed structure of DyMgCuTe3, from OQMD via LeMat-Bulk.

Output
- VASP energy: -3.98 eV per atom

Geometry as CIF:
```
data_DyMgCuTe3
_cell_length_a 12.4716
_cell_length_b 4.1493
_cell_length_c 12.1658
_cell_angle_alpha 90.00
_cell_angle_beta 90.00
_cell_angle_gamma 90.00
_space_group_name_H-M_alt 'P n m a'
_space_group_IT_number 62
loop_
_space_group_symop_operation_xyz
'x,y,z'
'-x,-y,-z'
'-x+1/2,-y,z+1/2'
'x+1/2,y,-z+1/2'
'x+1/2,-y+1/2,-z+1/2'
'-x+1/2,y+1/2,z+1/2'
'-x,y+1/2,-z'
'x,-y+1/2,z'
loop_
_atom_site_label
_atom_site_type_symbol
_atom_site_fract_x
_atom_site_fract_y
_atom_site_fract_z
Dy1 Dy 0.0486 0.2500 0.1919
Mg1 Mg 0.2203 0.2500 0.4596
Cu1 Cu 0.2422 0.7500 0.2844
Te1 Te 0.0577 0.7500 0.3773
Te2 Te 0.0998 0.2500 0.9309
Te3 Te 0.2025 0.7500 0.6629
```

---

The following is a PBE calculation of a relaxed structure of DyMgCuTe3, from OQMD via LeMat-Bulk.

Output
- VASP energy: -4.01 eV per atom

Geometry as CIF:
```
data_DyMgCuTe3
_cell_length_a 4.1101
_cell_length_b 13.9229
_cell_length_c 11.2502
_cell_angle_alpha 90.00
_cell_angle_beta 90.00
_cell_angle_gamma 90.00
_space_group_name_H-M_alt 'C m c m'
_space_group_IT_number 63
_space_group_name_Hall '-C 2c 2'
loop_
_atom_site_label
_atom_site_type_symbol
_atom_site_fract_x
_atom_site_fract_y
_atom_site_fract_z
Dy1 Dy 0.0000 0.0000 0.0000
Mg1 Mg 0.0000 0.2273 0.2500
Cu1 Cu 0.0000 0.4769 0.7500
Te1 Te 0.0000 0.1006 0.7500
Te2 Te 0.0000 0.3503 0.5758
```

---

The following is a PBE calculation of a relaxed structure of DyTmMg2Cu4, from OQMD via LeMat-Bulk.

Output
- VASP energy: -3.59 eV per atom

Geometry as CIF:
```
data_DyTmMg2Cu4
_cell_length_a 4.6598
_cell_length_b 4.6598
_cell_length_c 6.5959
_cell_angle_alpha 90.00
_cell_angle_beta 90.00
_cell_angle_gamma 90.00
_space_group_name_H-M_alt 'P 4/m m m'
_space_group_IT_number 123
_space_group_name_Hall '-P 4 2'
loop_
_atom_site_label
_atom_site_type_symbol
_atom_site_fract_x
_atom_site_fract_y
_atom_site_fract_z
Dy1 Dy 0.0000 0.0000 0.0000
Tm1 Tm 0.5000 0.5000 0.5000
Mg1 Mg 0.0000 0.0000 0.5000
Mg2 Mg 0.5000 0.5000 0.0000
Cu1 Cu 0.0000 0.5000 0.2538
```

---

The following is a PBE calculation of a relaxed structure of DyYMg3Cu2, from OQMD via LeMat-Bulk.

Output
- VASP energy: -3.47 eV per atom

Geometry as CIF:
```
data_DyYMg3Cu2
_cell_length_a 3.5739
_cell_length_b 4.1498
_cell_length_c 20.9538
_cell_angle_alpha 90.00
_cell_angle_beta 90.00
_cell_angle_gamma 90.00
_space_group_name_H-M_alt 'A m m 2'
_space_group_IT_number 38
loop_
_space_group_symop_operation_xyz
'x,y,z'
'-x,-y,z'
'-x,y,z'
'x,-y,z'
'x,y+1/2,z+1/2'
'-x,-y+1/2,z+1/2'
'-x,y+1/2,z+1/2'
'x,-y+1/2,z+1/2'
loop_
_atom_site_label
_atom_site_type_symbol
_atom_site_fract_x
_atom_site_fract_y
_atom_site_fract_z
Dy1 Dy 0.0000 0.0000 0.0000
Y1 Y 0.0000 0.0000 0.6559
Mg1 Mg 0.0000 0.0000 0.8276
Mg2 Mg 0.5000 0.0000 0.2504
Mg3 Mg 0.5000 0.0000 0.4049
Cu1 Cu 0.5000 0.0000 0.1129
Cu2 Cu 0.5000 0.0000 0.5415
```

---

The following is a PBE calculation of a relaxed structure of DyCu2Mo4, from OQMD via LeMat-Bulk.

Output
- Formation energy: 424 kJ/mol of formula units
- VASP energy: -7.29 eV per atom

Geometry as CIF:
```
data_DyCu2Mo4
_cell_length_a 3.8581
_cell_length_b 3.8581
_cell_length_c 8.0096
_cell_angle_alpha 90.00
_cell_angle_beta 90.00
_cell_angle_gamma 90.00
_space_group_name_H-M_alt 'P 4/m m m'
_space_group_IT_number 123
_space_group_name_Hall '-P 4 2'
loop_
_atom_site_label
_atom_site_type_symbol
_atom_site_fract_x
_atom_site_fract_y
_atom_site_fract_z
Dy1 Dy 0.0000 0.0000 0.0000
Cu1 Cu 0.0000 0.0000 0.5000
Cu2 Cu 0.5000 0.5000 0.0000
Mo1 Mo 0.0000 0.5000 0.2884
```

---

The following is a PBE calculation of a relaxed structure of NdDyCu2N4, from OQMD via LeMat-Bulk.

Output
- VASP energy: -6.27 eV per atom

Geometry as CIF:
```
data_NdDyCu2N4
_cell_length_a 3.4224
_cell_length_b 3.4224
_cell_length_c 8.3805
_cell_angle_alpha 90.00
_cell_angle_beta 90.00
_cell_angle_gamma 90.00
_space_group_name_H-M_alt 'P 4 m m'
_space_group_IT_number 99
loop_
_space_group_symop_operation_xyz
'x,y,z'
'-y,x,z'
'-x,-y,z'
'y,-x,z'
'-x,y,z'
'y,x,z'
'x,-y,z'
'-y,-x,z'
loop_
_atom_site_label
_atom_site_type_symbol
_atom_site_fract_x
_atom_site_fract_y
_atom_site_fract_z
Nd1 Nd 0.0000 0.0000 0.0000
Dy1 Dy 0.5000 0.5000 0.6037
Cu1 Cu 0.0000 0.5000 0.3058
N1 N 0.0000 0.0000 0.4561
N2 N 0.0000 0.5000 0.7917
N3 N 0.5000 0.5000 0.1493
```

---

The following is a PBE calculation of a relaxed structure of PrDyCu2N4, from OQMD via LeMat-Bulk.

Output
- VASP energy: -6.25 eV per atom

Geometry as CIF:
```
data_PrDyCu2N4
_cell_length_a 3.4407
_cell_length_b 3.4407
_cell_length_c 8.4097
_cell_angle_alpha 90.00
_cell_angle_beta 90.00
_cell_angle_gamma 90.00
_space_group_name_H-M_alt 'P 4 m m'
_space_group_IT_number 99
loop_
_space_group_symop_operation_xyz
'x,y,z'
'-y,x,z'
'-x,-y,z'
'y,-x,z'
'-x,y,z'
'y,x,z'
'x,-y,z'
'-y,-x,z'
loop_
_atom_site_label
_atom_site_type_symbol
_atom_site_fract_x
_atom_site_fract_y
_atom_site_fract_z
Pr1 Pr 0.0000 0.0000 0.0000
Dy1 Dy 0.5000 0.5000 0.6048
Cu1 Cu 0.0000 0.5000 0.3072
N1 N 0.0000 0.0000 0.4548
N2 N 0.0000 0.5000 0.7900
N3 N 0.5000 0.5000 0.1522
```

---

The following is a PBE calculation of a relaxed structure of NaDyCu, from OQMD via LeMat-Bulk.

Output
- VASP energy: -2.55 eV per atom

Geometry as CIF:
```
data_NaDyCu
_cell_length_a 6.7941
_cell_length_b 6.7941
_cell_length_c 6.7941
_cell_angle_alpha 90.00
_cell_angle_beta 90.00
_cell_angle_gamma 90.00
_space_group_name_H-M_alt 'F -4 3 m'
_space_group_IT_number 216
_space_group_name_Hall 'F -4 2 3'
loop_
_atom_site_label
_atom_site_type_symbol
_atom_site_fract_x
_atom_site_fract_y
_atom_site_fract_z
Na1 Na 0.0000 0.0000 0.0000
Dy1 Dy 0.2500 0.2500 0.7500
Cu1 Cu 0.0000 0.0000 0.5000
```

---

The following is a PBE calculation of a relaxed structure of DyNbCu, from OQMD via LeMat-Bulk.

Output
- Formation energy: 157 kJ/mol of formula units
- VASP energy: -5.60 eV per atom

Geometry as CIF:
```
data_DyNbCu
_cell_length_a 6.3971
_cell_length_b 6.3971
_cell_length_c 6.3971
_cell_angle_alpha 90.00
_cell_angle_beta 90.00
_cell_angle_gamma 90.00
_space_group_name_H-M_alt 'F -4 3 m'
_space_group_IT_number 216
_space_group_name_Hall 'F -4 2 3'
loop_
_atom_site_label
_atom_site_type_symbol
_atom_site_fract_x
_atom_site_fract_y
_atom_site_fract_z
Dy1 Dy 0.0000 0.0000 0.0000
Nb1 Nb 0.0000 0.0000 0.5000
Cu1 Cu 0.2500 0.2500 0.2500
```

---

The following is a PBE calculation of a relaxed structure of NdDy3Cu4, from OQMD via LeMat-Bulk.

Output
- Formation energy: -181 kJ/mol of formula units
- VASP energy: -4.41 eV per atom

Geometry as CIF:
```
data_NdDy3Cu4
_cell_length_a 5.3813
_cell_length_b 4.4935
_cell_length_c 7.1279
_cell_angle_alpha 90.00
_cell_angle_beta 90.09
_cell_angle_gamma 90.00
_space_group_name_H-M_alt 'P 1 m 1'
_space_group_IT_number 6
loop_
_space_group_symop_operation_xyz
'x,y,z'
'x,-y,z'
loop_
_atom_site_label
_atom_site_type_symbol
_atom_site_fract_x
_atom_site_fract_y
_atom_site_fract_z
Nd1 Nd 0.0000 0.0000 0.0000
Dy1 Dy 0.2684 0.5000 0.3637
Dy2 Dy 0.4996 0.5000 0.8629
Dy3 Dy 0.7677 0.0000 0.4999
Cu1 Cu 0.0066 0.5000 0.7134
Cu2 Cu 0.2615 0.0000 0.6482
Cu3 Cu 0.5065 0.0000 0.1493
Cu4 Cu 0.7602 0.5000 0.2148
```